No. 1
! CeNi17Sn, relaxed, DFT PBE; values from VASP
&SYSTEM
  ibrav = 0, nat = 19, ntyp = 3
/
ATOMIC_SPECIES
Sn 118.71 Sn.upf
Ce 140.12 Ce.upf
Ni 58.69 Ni.upf
ATOMIC_POSITIONS crystal
Sn 0.343 0.343 0.343
Ce 0.660 0.660 0.660
Ni 0.000 0.294 0.703
Ni 0.861 0.342 0.342
Ni 0.644 0.167 0.644
Ni 0.991 0.510 0.991
Ni 0.294 0.703 0.000
Ni 0.991 0.991 0.510
Ni 0.342 0.342 0.861
Ni 0.167 0.644 0.644
Ni 0.342 0.861 0.342
Ni 0.644 0.644 0.167
Ni 0.105 0.105 0.105
Ni 0.510 0.991 0.991
Ni 0.000 0.703 0.294
Ni 0.703 0.000 0.294
Ni 0.703 0.294 0.000
Ni 0.905 0.905 0.905
Ni 0.294 0.000 0.703
CELL_PARAMETERS angstrom
6.184 0.022 0.755
0.671 6.148 0.755
0.025 0.022 6.230
! DOS at the Fermi energy in states/eV per cell: 26.21
! Formation energy from the elements in eV per formula unit: -1.308
! Total moment in μB per cell: 6.03
! SG: R3m

---

No. 2
! LaTb12Pm5, relaxed, DFT PBE; values from VASP
&SYSTEM
  ibrav = 0, nat = 18, ntyp = 3
/
ATOMIC_SPECIES
Pm 145.00 Pm.upf
Tb 158.93 Tb.upf
La 138.91 La.upf
ATOMIC_POSITIONS crystal
Pm 0.167 0.666 0.500
Tb 0.844 0.666 0.556
Tb 0.820 0.000 0.450
Tb 0.986 0.667 0.057
Tb 0.180 0.000 0.550
Tb 0.673 0.000 0.950
Pm 0.330 0.339 0.000
Tb 0.510 0.334 0.556
Pm 0.670 0.661 0.000
Pm 0.500 0.000 0.500
Tb 0.347 0.667 0.943
Pm 0.833 0.334 0.500
Tb 0.490 0.666 0.444
Tb 0.327 0.000 0.050
Tb 0.156 0.334 0.444
Tb 0.653 0.333 0.057
Tb 0.014 0.333 0.943
La 0.000 0.000 0.000
CELL_PARAMETERS angstrom
11.480 0.000 0.009
5.740 8.697 0.005
-0.016 0.000 6.003
! DOS at the Fermi energy in states/eV per cell: 30.17
! Formation energy from the elements in eV per formula unit: 1.797
! Total moment in μB per cell: 0.00
! SG: C2/m

---

No. 3
! MoAs, relaxed, DFT PBE; values from VASP
&SYSTEM
  ibrav = 0, nat = 4, ntyp = 2
/
ATOMIC_SPECIES
Mo 95.94 Mo.upf
As 74.92 As.upf
ATOMIC_POSITIONS crystal
Mo 0.497 0.497 0.497
As 0.994 0.994 0.994
As 0.756 0.756 0.756
Mo 0.253 0.253 0.253
CELL_PARAMETERS angstrom
8.217 -0.016 -0.009
7.625 3.062 -0.009
7.625 1.466 2.688
! DOS at the Fermi energy in states/eV per cell: 2.26
! Formation energy from the elements in eV per formula unit: 0.127
! Total moment in μB per cell: 0.00
! SG: R-3m

---

No. 4
! SmGdRuRh, relaxed, DFT PBE; values from VASP
&SYSTEM
  ibrav = 0, nat = 4, ntyp = 4
/
ATOMIC_SPECIES
Gd 157.25 Gd.upf
Ru 101.07 Ru.upf
Rh 102.91 Rh.upf
Sm 150.36 Sm.upf
ATOMIC_POSITIONS crystal
Gd 0.500 0.500 0.500
Ru 0.750 0.750 0.750
Rh 0.250 0.250 0.250
Sm 0.000 0.000 0.000
CELL_PARAMETERS angstrom
4.901 0.000 0.000
2.451 4.245 0.000
2.451 1.415 4.002
! DOS at the Fermi energy in states/eV per cell: 2.59
! Formation energy from the elements in eV per formula unit: -1.964
! Total moment in μB per cell: 7.06
! SG: F-43m

---

No. 5
! TbAl4Ga, relaxed, DFT PBE; values from VASP
&SYSTEM
  ibrav = 0, nat = 6, ntyp = 3
/
ATOMIC_SPECIES
Al 26.98 Al.upf
Ga 69.72 Ga.upf
Tb 158.93 Tb.upf
ATOMIC_POSITIONS crystal
Al 0.322 0.000 0.644
Al 0.825 0.500 0.650
Ga 0.500 0.500 0.000
Al 0.175 0.500 0.350
Al 0.678 0.000 0.356
Tb 0.000 0.000 0.000
CELL_PARAMETERS angstrom
-0.864 0.878 -4.025
1.256 -3.904 -1.121
-5.423 -2.551 2.808
! Energy above the most stable polymorph in this dataset in meV/atom: 0
! DOS at the Fermi energy in states/eV per cell: 2.22
! Formation energy from the elements in eV per formula unit: -1.543
! Total moment in μB per cell: 0.00
! SG: Cmmm

---

No. 6
! NaLa2Pd2, relaxed, DFT PBE; values from VASP
&SYSTEM
  ibrav = 0, nat = 5, ntyp = 3
/
ATOMIC_SPECIES
Na 22.99 Na.upf
La 138.91 La.upf
Pd 106.42 Pd.upf
ATOMIC_POSITIONS crystal
Na 0.000 0.000 0.000
La 0.250 0.750 0.500
Pd 0.649 0.649 0.703
La 0.750 0.250 0.500
Pd 0.351 0.351 0.297
CELL_PARAMETERS angstrom
-2.294 -4.029 3.155
3.747 -3.677 -1.972
3.523 -2.809 3.958
! Energy above the most stable polymorph in this dataset in meV/atom: 180
! DOS at the Fermi energy in states/eV per cell: 6.02
! Formation energy from the elements in eV per formula unit: -2.072
! Total moment in μB per cell: 0.00
! SG: I4/mmm

---

> Which of these has the lowest formation energy from the elements?

NaLa2Pd2

---

> Which of these has the highest formation energy from the elements?

LaTb12Pm5